12
Lattice="5.212 -0.031 1.737 0.041 7.784 0.014 -0.002 -0.016 8.696" Properties=species:S:1:pos:R:3 comment="GGA-PBE Nd6Tl5Ag, optimized geometry" magmom_total_mub_per_atom=0.00 de_polymorph_ev_per_fu=0.00 dft_energy_ev_per_cell=-47.59 space_group="No. 65" e_form_ev_per_atom=-0.3584 vol_a3_per_cell=352.8 pbc="T T T"
Tl 3.497 3.860 6.952
Tl 1.750 -0.016 3.438
Tl 0.021 3.892 0.007
Tl 3.460 -0.031 6.995
Tl 1.754 3.876 3.494
Nd 4.387 5.838 4.315
Nd 4.366 1.883 4.308
Nd 2.616 1.881 0.872
Nd 2.637 5.871 0.879
Nd 0.884 5.854 6.138
Nd 0.863 1.898 6.131
Ag 0.000 0.000 0.000

***

10
Lattice="4.798 0.000 0.000 2.399 5.415 -0.983 2.399 -0.825 10.139" Properties=species:S:1:pos:R:3 comment="GGA-PBE Nd2TlAg2, optimized geometry" magmom_total_mub_per_atom=0.00 dft_energy_ev_per_cell=-37.60 space_group="No. 12" e_form_ev_per_atom=-0.2387 vol_a3_per_cell=259.5 pbc="T T T"
Nd 4.798 0.761 3.691
Nd 7.197 0.696 9.281
Nd 4.798 3.829 5.465
Nd 2.399 3.893 -0.124
Tl 4.798 0.858 7.160
Tl 4.798 3.732 1.997
Ag 7.197 1.626 5.808
Ag 7.197 3.758 7.904
Ag 2.399 2.964 3.348
Ag 2.399 0.832 1.252

***

6
Lattice="-2.398 1.965 2.025 -3.840 -1.990 -2.617 -0.521 -6.583 5.771" Properties=species:S:1:pos:R:3 comment="GGA-PBE Nd2Tl3Ag, optimized geometry" magmom_total_mub_per_atom=0.00 de_polymorph_ev_per_fu=0.00 dft_energy_ev_per_cell=-21.14 space_group="No. 25" e_form_ev_per_atom=-0.2765 vol_a3_per_cell=164.2 pbc="T T T"
Nd -1.922 -1.015 -1.291
Nd -0.260 -3.285 2.880
Tl -1.636 -4.538 5.853
Tl -1.293 -0.210 2.058
Tl -3.459 -4.300 3.463
Ag -3.290 -2.165 1.591